## Na3CoBPO7 (GGA+U)

Data for an optimized crystal structure of Na3CoBPO7.

Lattice parameters (Å, degrees): 5.292 6.513 8.975 90.00 91.90 90.00
Last column: magnetic moment on the atom in μB.
Element x y z (fractional)
Na (0.243, 0.000, 0.074)  0.00
Na (0.757, 0.500, 0.926)  0.00
Na (0.754, 0.753, 0.258)  0.00
Na (0.754, 0.247, 0.258)  0.00
Na (0.246, 0.253, 0.742)  0.00
Na (0.246, 0.747, 0.742)  0.00
Co (0.227, 0.500, 0.333)  3.09
Co (0.773, 0.000, 0.667)  3.09
B (0.272, 0.500, 0.065)  -0.01
B (0.728, 0.000, 0.935)  -0.01
P (0.284, 0.000, 0.425)  0.01
P (0.716, 0.500, 0.575)  0.01
O (0.698, 0.000, 0.083)  0.04
O (0.302, 0.500, 0.917)  0.04
O (0.039, 0.500, 0.135)  0.18
O (0.961, 0.000, 0.865)  0.18
O (0.474, 0.500, 0.172)  0.19
O (0.526, 0.000, 0.828)  0.19
O (0.573, 0.000, 0.465)  0.08
O (0.427, 0.500, 0.535)  0.08
O (0.871, 0.500, 0.433)  0.05
O (0.129, 0.000, 0.567)  0.05
O (0.217, 0.811, 0.324)  0.10
O (0.217, 0.189, 0.324)  0.10
O (0.783, 0.311, 0.676)  0.10
O (0.783, 0.689, 0.676)  0.10

Computed properties:
- SG = P2_1/m (11)
- energy (eV per atom) = -6.248
- total magnetic moment (μB/cell) = 8.0